(1)
The following is a DFT calculation (PBE) of an optimized crystal structure of V4Ga2C.

Structure (POSCAR):
```
V4Ga2C
1.0
0.4245 6.7353 -4.1516
-5.5338 5.5915 0.9445
1.8160 6.7949 3.6484
V Ga C
16 8 4
direct
0.8027 0.8027 0.1973 V
0.0527 0.4473 0.0527 V
0.1973 0.1973 0.8027 V
0.4473 0.0527 0.0527 V
0.6250 0.6250 0.6250 V
0.8027 0.1973 0.8027 V
0.0527 0.4473 0.4473 V
0.1973 0.8027 0.1973 V
0.6250 0.1250 0.6250 V
0.4473 0.4473 0.0527 V
0.1250 0.6250 0.6250 V
0.8027 0.1973 0.1973 V
0.0527 0.0527 0.4473 V
0.6250 0.6250 0.1250 V
0.1973 0.8027 0.8027 V
0.4473 0.0527 0.4473 V
0.4692 0.8436 0.8436 Ga
0.4064 0.4064 0.7808 Ga
0.7808 0.4064 0.4064 Ga
0.8436 0.4692 0.8436 Ga
0.4064 0.7808 0.4064 Ga
0.8436 0.8436 0.4692 Ga
0.8436 0.8436 0.8436 Ga
0.4064 0.4064 0.4064 Ga
0.6250 0.1250 0.1250 C
0.1250 0.1250 0.1250 C
0.1250 0.1250 0.6250 C
0.1250 0.6250 0.1250 C
```

The value obtained for the energy relative to the elements is -0.292 eV per atom. The symmetry is No. 227. The energy above the most stable polymorph in this dataset comes out at 0 meV/atom.

(2)
The following is a DFT calculation (PBE) of an optimized crystal structure of Pu3SiAu3.

Structure (POSCAR):
```
Pu3SiAu3
1.0
4.6554 0.0000 -1.0156
-0.1630 3.2162 -0.7471
-0.2029 0.6711 10.2474
Pu Si Au
3 1 3
direct
0.3076 0.8076 0.6152 Pu
0.9968 0.9968 0.9936 Pu
0.6965 0.1965 0.3931 Pu
0.4323 0.4323 0.8646 Si
0.5616 0.5616 0.1232 Au
0.8597 0.3597 0.7194 Au
0.1455 0.6455 0.2910 Au
```

The uncorrected formation energy is -359.7 meV per atom. The symmetry is No. 44.

(3)
The following is a DFT calculation (PBE) of an optimized crystal structure of Sb2OsRu.

Structure (POSCAR):
```
Sb2OsRu
1.0
0.0000 3.2820 3.2820
3.2820 0.0000 3.2820
3.2820 3.2820 0.0000
Sb Os Ru
2 1 1
direct
0.7500 0.7500 0.7500 Sb
0.2500 0.2500 0.2500 Sb
0.5000 0.5000 0.5000 Os
0.0000 0.0000 0.0000 Ru
```

The uncorrected formation energy is 392.0 meV per atom. The symmetry is No. 225. The energy above the most stable polymorph in this dataset comes out at 138 meV/atom.

(4)
The following is a DFT calculation (PBE) of an optimized crystal structure of Tm3AlGe3.

Structure (POSCAR):
```
Tm3AlGe3
1.0
4.1034 0.0000 0.0000
-2.0517 5.2505 0.0000
0.0000 0.0000 13.6592
Tm Al Ge
6 2 6
direct
0.1954 0.3909 0.6008 Tm
0.5226 0.0453 0.2500 Tm
0.4774 0.9547 0.7500 Tm
0.8046 0.6091 0.3992 Tm
0.8046 0.6091 0.1008 Tm
0.1954 0.3909 0.8992 Tm
0.5000 0.0000 0.0000 Al
0.5000 0.0000 0.5000 Al
0.7484 0.4968 0.7500 Ge
0.9067 0.8134 0.6018 Ge
0.2516 0.5032 0.2500 Ge
0.9067 0.8134 0.8982 Ge
0.0933 0.1866 0.3982 Ge
0.0933 0.1866 0.1018 Ge
```

The value obtained for the energy relative to the elements is -0.747 eV per atom. The symmetry is No. 63. The energy above the most stable polymorph in this dataset comes out at 0 meV/atom.

(5)
The following is a DFT calculation (PBE) of an optimized crystal structure of Pr4PtSeBr2.

Structure (POSCAR):
```
Pr4PtSeBr2
1.0
-1.3887 -1.4325 3.6757
0.6857 -7.1606 -2.5316
6.7178 1.9924 3.3145
Pr Br Se Pt
4 2 1 1
direct
0.0000 0.2592 0.7833 Pr
0.5000 0.2199 0.2112 Pr
0.5000 0.7801 0.7888 Pr
0.0000 0.7408 0.2167 Pr
0.5000 0.0000 0.5000 Br
0.0000 0.5000 0.5000 Br
0.5000 0.5000 0.0000 Se
0.0000 0.0000 0.0000 Pt
```

The uncorrected formation energy is -1359.6 meV per atom. The symmetry is No. 10.

(6)
The following is a DFT calculation (PBE) of an optimized crystal structure of AcTmThTl.

Structure (POSCAR):
```
AcTmThTl
1.0
-0.7826 4.9169 -2.6364
-2.2557 0.1010 -5.1615
-5.2153 1.9919 -0.7564
Ac Tm Tl Th
1 1 1 1
direct
0.2500 0.2500 0.2500 Ac
0.5000 0.5000 0.5000 Tm
0.7500 0.7500 0.7500 Tl
0.0000 0.0000 0.0000 Th
```

The value obtained for the energy relative to the elements is 0.132 eV per atom. The symmetry is No. 216.

(7)
The following is a DFT calculation (PBE) of an optimized crystal structure of CeGaNi4P2.

Structure (POSCAR):
```
CeGaNi4P2
1.0
-0.7565 -2.4590 2.9728
-1.5083 -2.5998 -2.5343
6.6951 -3.0697 -0.8356
Ce P Ga Ni
1 2 1 4
direct
0.0000 0.0000 0.5000 Ce
0.5000 0.5000 0.6608 P
0.5000 0.5000 0.3392 P
0.0000 0.0000 0.0000 Ga
0.5000 0.0000 0.8110 Ni
0.0000 0.5000 0.8110 Ni
0.0000 0.5000 0.1890 Ni
0.5000 0.0000 0.1890 Ni
```

The value obtained for the energy relative to the elements is -0.663 eV per atom. The symmetry is No. 123.

(8)
The following is a DFT calculation (PBE) of an optimized crystal structure of V4Pt5.

Structure (POSCAR):
```
V4Pt5
1.0
3.9491 0.0023 0.0021
1.9723 5.7454 -0.3789
1.9723 0.3810 5.7452
V Pt
4 5
direct
0.6635 0.6666 0.0061 V
0.3365 0.6668 0.6605 V
0.6635 0.3395 0.3332 V
0.3365 0.9939 0.3334 V
0.0000 0.9914 0.0086 Pt
0.0000 0.3419 0.6581 Pt
0.0000 0.6667 0.3333 Pt
0.3247 0.3419 0.0086 Pt
0.6753 0.9914 0.6581 Pt
```

The value obtained for the energy relative to the elements is -0.443 eV per atom. The symmetry is No. 139. The energy above the most stable polymorph in this dataset comes out at 0 meV/atom.